Entry from Alexandria via LeMat-Bulk: a relaxed structure of Sm2MgCu4Si3 (GGA-PBE).

```
data_Sm2MgCu4Si3
_chemical_formula_sum 'Sm2 Mg1 Cu4 Si3'
_cell_length_a 4.0907
_cell_length_b 4.0907
_cell_length_c 10.2091
_cell_angle_alpha 90.00
_cell_angle_beta 90.00
_cell_angle_gamma 90.00
_space_group_name_H-M_alt 'P 1'
_space_group_IT_number 1
_space_group_name_Hall 'P 1'
loop_
_atom_site_label
_atom_site_type_symbol
_atom_site_fract_x
_atom_site_fract_y
_atom_site_fract_z
_atom_site_occupancy
Sm1 Sm 0.0000 0.5000 0.2338 1
Sm2 Sm 0.5000 0.0000 0.7662 1
Mg1 Mg 0.0000 0.0000 0.5000 1
Cu1 Cu 0.0000 0.0000 0.0000 1
Cu2 Cu 0.0000 0.5000 0.6433 1
Cu3 Cu 0.5000 0.0000 0.3567 1
Cu4 Cu 0.5000 0.5000 0.0000 1
Si1 Si 0.0000 0.5000 0.8716 1
Si2 Si 0.5000 0.0000 0.1284 1
Si3 Si 0.5000 0.5000 0.5000 1
```

## Properties
- M_tot: 0.0 μB/cell
- Raw total energy: -4.86 eV/atom
- DOS at the Fermi energy: 4.1 states/eV/cell
- Raw formation energy: -0.4895 eV per atom